1.
A relaxed Y4Cu2Rh crystal, computed with GGA-PBE.

a = 8.428 Å, b = 8.428 Å, c = 8.428 Å
α = 33.77°, β = 33.77°, γ = 33.77°
Sites, in units of the cell vectors:
Y 0.124 0.124 0.124
Y 0.375 0.375 0.375
Y 0.625 0.625 0.625
Y 0.876 0.876 0.876
Cu 0.250 0.250 0.250
Cu 0.750 0.750 0.750
Rh 0.000 0.000 0.000

Formation energy (eV per atom): -0.309
Energy (eV/atom): -6.223



2.
A relaxed Y4Cu3Rh crystal, computed with GGA-PBE.

a = 3.770 Å, b = 4.417 Å, c = 10.475 Å
α = 90.00°, β = 90.00°, γ = 90.00°
Sites, in units of the cell vectors:
Y 0.000 0.000 0.000
Y 0.000 0.500 0.273
Y 0.500 0.000 0.490
Y 0.500 0.500 0.776
Cu 0.000 0.000 0.706
Cu 0.000 0.500 0.565
Cu 0.500 0.500 0.059
Rh 0.500 0.000 0.215

Formation energy (eV per atom): -0.423
Energy (eV/atom): -6.110



3.
A relaxed YCu3Rh crystal, computed with GGA-PBE.

a = 4.810 Å, b = 4.810 Å, c = 4.810 Å
α = 90.00°, β = 90.00°, γ = 90.00°
Sites, in units of the cell vectors:
Y 0.000 0.000 0.000
Cu 0.000 0.000 0.500
Cu 0.000 0.500 0.000
Cu 0.500 0.000 0.000
Rh 0.500 0.500 0.500

Polymorph energy (0 for the lowest one) (kJ/mol of atoms): 124.1
Formation energy (eV per atom): 1.615
Energy (eV/atom): -3.605



4.
A relaxed Y3CuRh3 crystal, computed with GGA-PBE.

a = 6.460 Å, b = 6.460 Å, c = 6.933 Å
α = 90.40°, β = 90.40°, γ = 88.08°
Sites, in units of the cell vectors:
Y 0.007 0.492 0.746
Y 0.008 0.008 0.249
Y 0.492 0.007 0.746
Y 0.508 0.993 0.254
Y 0.992 0.992 0.751
Y 0.993 0.508 0.254
Cu 0.499 0.499 0.251
Cu 0.501 0.501 0.749
Rh 0.262 0.262 0.005
Rh 0.267 0.733 0.000
Rh 0.272 0.728 0.500
Rh 0.728 0.272 0.500
Rh 0.733 0.267 0.000
Rh 0.738 0.738 0.995

Formation energy (eV per atom): -0.493
Energy (eV/atom): -6.999



5.
A relaxed YCuRh crystal, computed with GGA-PBE.

a = 4.307 Å, b = 4.307 Å, c = 3.532 Å
α = 90.00°, β = 90.00°, γ = 120.00°
Sites, in units of the cell vectors:
Y 0.000 0.000 0.000
Cu 0.667 0.333 0.500
Rh 0.333 0.667 0.500

Formation energy (eV per atom): -0.471
Energy (eV/atom): -6.442



6.
A relaxed Y5CuRh4 crystal, computed with GGA-PBE.

a = 3.439 Å, b = 3.439 Å, c = 17.400 Å
α = 90.00°, β = 90.00°, γ = 90.00°
Sites, in units of the cell vectors:
Y 0.000 0.000 0.000
Y 0.000 0.000 0.199
Y 0.000 0.000 0.397
Y 0.000 0.000 0.603
Y 0.000 0.000 0.801
Cu 0.500 0.500 0.500
Rh 0.500 0.500 0.099
Rh 0.500 0.500 0.299
Rh 0.500 0.500 0.701
Rh 0.500 0.500 0.901

Formation energy (eV per atom): -0.721
Energy (eV/atom): -7.304



7.
A relaxed Y2Cu2Rh crystal, computed with GGA-PBE.

a = 5.153 Å, b = 5.153 Å, c = 8.234 Å
α = 103.65°, β = 103.65°, γ = 65.87°
Sites, in units of the cell vectors:
Y 0.029 0.285 0.152
Y 0.285 0.029 0.652
Y 0.715 0.971 0.348
Y 0.971 0.715 0.848
Cu 0.248 0.494 0.501
Cu 0.494 0.248 0.001
Cu 0.506 0.752 0.999
Cu 0.752 0.506 0.499
Rh 0.310 0.690 0.250
Rh 0.690 0.310 0.750

Polymorph energy (0 for the lowest one) (kJ/mol of atoms): 1.0
Formation energy (eV per atom): -0.427
Energy (eV/atom): -6.121



8.
A relaxed YCu2Rh crystal, computed with GGA-PBE.

a = 3.478 Å, b = 3.478 Å, c = 5.482 Å
α = 90.00°, β = 90.00°, γ = 90.00°
Sites, in units of the cell vectors:
Y 0.000 0.000 0.000
Cu 0.500 0.500 0.278
Cu 0.500 0.500 0.722
Rh 0.000 0.000 0.500

Polymorph energy (0 for the lowest one) (kJ/mol of atoms): 14.8
Formation energy (eV per atom): -0.193
Energy (eV/atom): -5.695



9.
A relaxed Y2Cu2Rh crystal, computed with GGA-PBE.

a = 5.312 Å, b = 5.312 Å, c = 7.354 Å
α = 90.00°, β = 90.00°, γ = 90.00°
Sites, in units of the cell vectors:
Y 0.000 0.500 0.250
Y 0.000 0.500 0.750
Y 0.500 0.000 0.250
Y 0.500 0.000 0.750
Cu 0.000 0.000 0.152
Cu 0.000 0.000 0.848
Cu 0.500 0.500 0.348
Cu 0.500 0.500 0.652
Rh 0.000 0.000 0.500
Rh 0.500 0.500 0.000

Polymorph energy (0 for the lowest one) (kJ/mol of atoms): 25.8
Formation energy (eV per atom): -0.170
Energy (eV/atom): -5.864



10.
A relaxed Y2CuRh2 crystal, computed with GGA-PBE.

a = 7.947 Å, b = 7.947 Å, c = 3.283 Å
α = 90.00°, β = 90.00°, γ = 90.00°
Sites, in units of the cell vectors:
Y 0.156 0.344 0.000
Y 0.344 0.844 0.000
Y 0.656 0.156 0.000
Y 0.844 0.656 0.000
Cu 0.000 0.000 0.000
Cu 0.500 0.500 0.000
Rh 0.142 0.642 0.500
Rh 0.358 0.142 0.500
Rh 0.642 0.858 0.500
Rh 0.858 0.358 0.500

Polymorph energy (0 for the lowest one) (kJ/mol of atoms): 39.6
Formation energy (eV per atom): -0.255
Energy (eV/atom): -6.600



11.
A relaxed YCu2Rh crystal, computed with GGA-PBE.

a = 3.908 Å, b = 3.908 Å, c = 8.463 Å
α = 90.00°, β = 90.00°, γ = 90.00°
Sites, in units of the cell vectors:
Y 0.000 0.000 0.000
Y 0.500 0.500 0.500
Cu 0.000 0.500 0.250
Cu 0.000 0.500 0.750
Cu 0.500 0.000 0.250
Cu 0.500 0.000 0.750
Rh 0.000 0.000 0.500
Rh 0.500 0.500 0.000

Polymorph energy (0 for the lowest one) (kJ/mol of atoms): 0.0
Formation energy (eV per atom): -0.346
Energy (eV/atom): -5.848



12.
A relaxed Y2CuRh2 crystal, computed with GGA-PBE.

a = 5.670 Å, b = 5.670 Å, c = 7.640 Å
α = 104.42°, β = 104.42°, γ = 56.55°
Sites, in units of the cell vectors:
Y 0.005 0.291 0.151
Y 0.291 0.005 0.651
Y 0.709 0.995 0.349
Y 0.995 0.709 0.849
Cu 0.325 0.675 0.250
Cu 0.675 0.325 0.750
Rh 0.234 0.508 0.496
Rh 0.492 0.766 0.004
Rh 0.508 0.234 0.996
Rh 0.766 0.492 0.504

Polymorph energy (0 for the lowest one) (kJ/mol of atoms): 2.1
Formation energy (eV per atom): -0.643
Energy (eV/atom): -6.988



Please write out number 10 again, unchanged.
A relaxed Y2CuRh2 crystal, computed with GGA-PBE.

a = 7.947 Å, b = 7.947 Å, c = 3.283 Å
α = 90.00°, β = 90.00°, γ = 90.00°
Sites, in units of the cell vectors:
Y 0.156 0.344 0.000
Y 0.344 0.844 0.000
Y 0.656 0.156 0.000
Y 0.844 0.656 0.000
Cu 0.000 0.000 0.000
Cu 0.500 0.500 0.000
Rh 0.142 0.642 0.500
Rh 0.358 0.142 0.500
Rh 0.642 0.858 0.500
Rh 0.858 0.358 0.500

Polymorph energy (0 for the lowest one) (kJ/mol of atoms): 39.6
Formation energy (eV per atom): -0.255
Energy (eV/atom): -6.600



Question: What is the energy in the tenth record?
Answer: -6.600 eV/atom



Please write out number 1 again, unchanged.
A relaxed Y4Cu2Rh crystal, computed with GGA-PBE.

a = 8.428 Å, b = 8.428 Å, c = 8.428 Å
α = 33.77°, β = 33.77°, γ = 33.77°
Sites, in units of the cell vectors:
Y 0.124 0.124 0.124
Y 0.375 0.375 0.375
Y 0.625 0.625 0.625
Y 0.876 0.876 0.876
Cu 0.250 0.250 0.250
Cu 0.750 0.750 0.750
Rh 0.000 0.000 0.000

Formation energy (eV per atom): -0.309
Energy (eV/atom): -6.223



Question: Look up the formation energy of the eleventh one.
Answer: -0.346 eV per atom